Material: Pm2YAl3
Method: DFT, GGA-PBE
State: relaxed

```
data_Pm2YAl3
_chemical_formula_sum 'Pm2 Y1 Al3'
_symmetry_space_group_name_H-M 'P 4/m m m'
_symmetry_Int_Tables_number 123
_symmetry_space_group_name_Hall '-P 4 2'
_cell_length_a 3.658
_cell_length_b 3.658
_cell_length_c 11.068
_cell_angle_alpha 90.00
_cell_angle_beta 90.00
_cell_angle_gamma 90.00
loop_
_atom_site_label
_atom_site_fract_x
_atom_site_fract_y
_atom_site_fract_z
Pm1 0.000 0.000 0.170
Y1 0.000 0.000 0.500
Al1 0.500 0.500 0.000
Al2 0.500 0.500 0.342
```

Output
Total magnetic moment = 0.00 μB/cell
DOS(E_F) = 0.3833 states/eV/atom
Calculated volume = 24.678 Å³/atom
Energy of formation = -0.39 eV per atom

Material: RbAc3Nd2Te6
Method: DFT, GGA-PBE
State: relaxed

```
data_RbAc3Nd2Te6
_chemical_formula_sum 'Rb2 Ac6 Nd4 Te12'
_symmetry_space_group_name_H-M 'C 1 2/m 1'
_symmetry_Int_Tables_number 12
_symmetry_space_group_name_Hall '-C 2y'
_cell_length_a 20.463
_cell_length_b 4.674
_cell_length_c 9.490
_cell_angle_alpha 90.00
_cell_angle_beta 102.75
_cell_angle_gamma 90.00
loop_
_atom_site_label
_atom_site_fract_x
_atom_site_fract_y
_atom_site_fract_z
Rb1 0.000 0.000 0.000
Ac1 0.000 0.000 0.500
Ac2 0.161 0.500 0.827
Nd1 0.172 0.500 0.350
Te1 0.008 0.500 0.263
Te2 0.168 0.000 0.579
Te3 0.173 0.000 0.097
```

Output
Total magnetic moment = 0.00 μB/cell
DOS(E_F) = 0.4062 states/eV/atom
Calculated volume = 36.885 Å³/atom
ΔE_f (raw) = -17.1 eV per formula unit

Material: GaF4
Method: DFT, GGA-PBE
State: relaxed

```
data_GaF4
_chemical_formula_sum 'Ga2 F8'
_symmetry_space_group_name_H-M 'P 4/n b m'
_symmetry_Int_Tables_number 125
_cell_length_a 4.729
_cell_length_b 4.729
_cell_length_c 5.116
_cell_angle_alpha 90.00
_cell_angle_beta 90.00
_cell_angle_gamma 90.00
loop_
_symmetry_equiv_pos_as_xyz
'x,y,z'
'-x,-y,-z'
'-y+1/2,x,z'
'y+1/2,-x,-z'
'-x+1/2,-y+1/2,z'
'x+1/2,y+1/2,-z'
'y,-x+1/2,z'
'-y,x+1/2,-z'
'x,-y+1/2,-z'
'-x,y+1/2,z'
'-y+1/2,-x+1/2,-z'
'y+1/2,x+1/2,z'
'-x+1/2,y,-z'
'x+1/2,-y,z'
'y,x,-z'
'-y,-x,z'
loop_
_atom_site_label
_atom_site_fract_x
_atom_site_fract_y
_atom_site_fract_z
Ga1 0.250 0.250 0.000
F1 0.072 0.572 0.216
```

Output
Total magnetic moment = 2.00 μB/cell
DOS(E_F) = 0.9632 states/eV/atom
Calculated volume = 11.440 Å³/atom
ΔE_f (raw) = -8.5 eV per formula unit

Material: Pd2RuAu
Method: DFT, GGA-PBE
State: relaxed

```
data_Pd2RuAu
_chemical_formula_sum 'Pd6 Ru3 Au3'
_symmetry_space_group_name_H-M 'R -3 m'
_symmetry_Int_Tables_number 166
_symmetry_space_group_name_Hall '-R 3 2"'
_cell_length_a 2.8018
_cell_length_b 2.8018
_cell_length_c 27.5626
_cell_angle_alpha 90.00
_cell_angle_beta 90.00
_cell_angle_gamma 120.00
loop_
_atom_site_label
_atom_site_fract_x
_atom_site_fract_y
_atom_site_fract_z
Pd1 0.0000 0.0000 0.2455
Ru1 0.0000 0.0000 0.5000
Au1 0.0000 0.0000 0.0000
```

Output
Total magnetic moment = 0.00 μB/cell
DOS(E_F) = 0.9670 states/eV/atom
Calculated volume = 15.615 Å³/atom
Energy of formation = 0.10 eV per atom

Material: Mg8CdIn5
Method: DFT, GGA-PBE
State: relaxed

```
data_Mg8CdIn5
_chemical_formula_sum 'Mg16 Cd2 In10'
_symmetry_space_group_name_H-M 'I -4'
_symmetry_Int_Tables_number 82
_symmetry_space_group_name_Hall 'I -4'
_cell_length_a 8.535
_cell_length_b 8.535
_cell_length_c 9.416
_cell_angle_alpha 90.00
_cell_angle_beta 90.00
_cell_angle_gamma 90.00
loop_
_atom_site_label
_atom_site_fract_x
_atom_site_fract_y
_atom_site_fract_z
Mg1 0.075 0.176 0.356
Mg2 0.080 0.328 0.994
Cd1 0.000 0.000 0.000
In1 0.000 0.500 0.250
In2 0.123 0.275 0.677
```

Output
Total magnetic moment = 0.00 μB/cell
DOS(E_F) = 0.3809 states/eV/atom
Calculated volume = 24.497 Å³/atom
Energy of formation = -0.01 eV per atom

Material: CaLuNi2
Method: DFT, GGA-PBE
State: relaxed

```
data_CaLuNi2
_chemical_formula_sum 'Ca4 Lu4 Ni8'
_symmetry_space_group_name_H-M 'F m -3 m'
_symmetry_Int_Tables_number 225
_symmetry_space_group_name_Hall '-F 4 2 3'
_cell_length_a 6.685
_cell_length_b 6.685
_cell_length_c 6.685
_cell_angle_alpha 90.00
_cell_angle_beta 90.00
_cell_angle_gamma 90.00
loop_
_atom_site_label
_atom_site_fract_x
_atom_site_fract_y
_atom_site_fract_z
Ca1 0.000 0.000 0.000
Lu1 0.000 0.000 0.500
Ni1 0.250 0.250 0.250
```

Output
Total magnetic moment = 0.00 μB/cell
DOS(E_F) = 0.7701 states/eV/atom
Calculated volume = 18.669 Å³/atom
Energy of formation = -0.20 eV per atom

Material: BaAg3Se3
Method: DFT, GGA-PBE
State: relaxed

```
data_BaAg3Se3
_chemical_formula_sum 'Ba6 Ag18 Se18'
_symmetry_space_group_name_H-M 'R -3'
_symmetry_Int_Tables_number 148
_symmetry_space_group_name_Hall '-R 3'
_cell_length_a 7.6935
_cell_length_b 7.6935
_cell_length_c 23.0857
_cell_angle_alpha 90.00
_cell_angle_beta 90.00
_cell_angle_gamma 120.00
loop_
_atom_site_label
_atom_site_fract_x
_atom_site_fract_y
_atom_site_fract_z
Ba1 0.0000 0.0000 0.1664
Ag1 0.0006 0.3391 0.6242
Se1 0.0008 0.3306 0.4115
```

Output
Total magnetic moment = 0.00 μB/cell
DOS(E_F) = 0.7944 states/eV/atom
Calculated volume = 28.176 Å³/atom
ΔE_f (raw) = -4.1 eV per formula unit

Material: LiYSc2Te4
Method: DFT, GGA-PBE
State: relaxed

```
data_LiYSc2Te4
_chemical_formula_sum 'Li1 Y1 Sc2 Te4'
_symmetry_space_group_name_H-M 'P 1 2/m 1'
_symmetry_Int_Tables_number 10
_symmetry_space_group_name_Hall '-P 2y'
_cell_length_a 7.314
_cell_length_b 4.207
_cell_length_c 7.376
_cell_angle_alpha 90.00
_cell_angle_beta 109.03
_cell_angle_gamma 90.00
loop_
_atom_site_label
_atom_site_fract_x
_atom_site_fract_y
_atom_site_fract_z
Li1 0.000 0.000 0.000
Y1 0.500 0.500 0.000
Sc1 0.000 0.500 0.500
Sc2 0.500 0.000 0.500
Te1 0.239 0.000 0.741
Te2 0.246 0.500 0.256
```

Output
Total magnetic moment = 0.00 μB/cell
DOS(E_F) = 0.5115 states/eV/atom
Calculated volume = 26.818 Å³/atom
ΔE_f (raw) = -9.7 eV per formula unit

Material: CePmSbI
Method: DFT, GGA-PBE
State: relaxed

```
data_CePmSbI
_chemical_formula_sum 'Ce4 Pm4 Sb4 I4'
_symmetry_space_group_name_H-M 'F -4 3 m'
_symmetry_Int_Tables_number 216
_symmetry_space_group_name_Hall 'F -4 2 3'
_cell_length_a 7.763
_cell_length_b 7.763
_cell_length_c 7.763
_cell_angle_alpha 90.00
_cell_angle_beta 90.00
_cell_angle_gamma 90.00
loop_
_atom_site_label
_atom_site_fract_x
_atom_site_fract_y
_atom_site_fract_z
Ce1 0.000 0.000 0.000
Pm1 0.000 0.000 0.500
Sb1 0.250 0.250 0.250
I1 0.250 0.250 0.750
```

Output
Total magnetic moment = 7.50 μB/cell
DOS(E_F) = 1.8334 states/eV/atom
Calculated volume = 29.235 Å³/atom
ΔE_f (raw) = -3.6 eV per formula unit

Material: BaSrEuBiO6
Method: DFT, GGA-PBE
State: relaxed

```
data_BaSrEuBiO6
_chemical_formula_sum 'Ba2 Sr2 Eu2 Bi2 O12'
_symmetry_space_group_name_H-M 'P -1'
_symmetry_Int_Tables_number 2
_symmetry_space_group_name_Hall '-P 1'
_cell_length_a 6.125
_cell_length_b 6.178
_cell_length_c 8.687
_cell_angle_alpha 89.87
_cell_angle_beta 89.73
_cell_angle_gamma 89.89
loop_
_atom_site_label
_atom_site_fract_x
_atom_site_fract_y
_atom_site_fract_z
Ba1 0.007 0.030 0.250
Sr1 0.490 0.537 0.249
Eu1 0.000 0.500 0.000
Eu2 0.500 0.000 0.500
Bi1 0.000 0.500 0.500
Bi2 0.500 0.000 0.000
O1 0.093 0.506 0.740
O2 0.208 0.774 0.461
O3 0.223 0.793 0.034
O4 0.278 0.297 0.448
O5 0.303 0.283 0.050
O6 0.430 0.044 0.759
```

Output
Total magnetic moment = 12.00 μB/cell
DOS(E_F) = 0.7064 states/eV/atom
Calculated volume = 16.436 Å³/atom
ΔE_f (raw) = -21.9 eV per formula unit

Material: Pr2NdHg2Pb2
Method: DFT, GGA-PBE
State: relaxed

```
data_Pr2NdHg2Pb2
_chemical_formula_sum 'Pr6 Nd3 Hg6 Pb6'
_symmetry_space_group_name_H-M 'R -3 m'
_symmetry_Int_Tables_number 166
_symmetry_space_group_name_Hall '-R 3 2"'
_cell_length_a 5.1314
_cell_length_b 5.1314
_cell_length_c 28.0346
_cell_angle_alpha 90.00
_cell_angle_beta 90.00
_cell_angle_gamma 120.00
loop_
_atom_site_label
_atom_site_fract_x
_atom_site_fract_y
_atom_site_fract_z
Pr1 0.0000 0.0000 0.1307
Nd1 0.0000 0.0000 0.0000
Hg1 0.0000 0.0000 0.4307
Pb1 0.0000 0.0000 0.2742
```

Output
Total magnetic moment = 0.00 μB/cell
DOS(E_F) = 0.7735 states/eV/atom
Calculated volume = 30.442 Å³/atom
Energy of formation = -0.28 eV per atom